This record from Alexandria via LeMat-Bulk describes a relaxed Li2VZnGe crystal. The functional is PBE.

a = 4.4986 Å, b = 4.7134 Å, c = 4.4986 Å
α = 90.00°, β = 90.00°, γ = 90.00°
Last column: magnetic moment on the atom in μB.
Fractional coordinates of all 5 atoms:
Li: 0.0000 0.0000 0.5000  0.00
Ge: 0.0000 0.0000 0.0000  0.04
Zn: 0.0000 0.5000 0.0000  -0.01
V: 0.5000 0.5000 0.5000  0.47
Li: 0.5000 0.0000 0.0000  -0.01

## Properties
VASP energy	-2.953	eV/atom
ΔE_f	0.814	eV per atom
space-group type	P4/mmm (123)